w) Tb3Sm4Y2 (GGA-PBE, optimized geometry); space group = No. 12; ρ = 7.07 g cm⁻³
1.0
5.948 -1.798 0.000
5.948 1.798 0.000
-5.427 0.000 13.785
Tb Sm Y
3 4 2
Cartesian
0.000 0.000 0.000
-1.084 0.000 6.142
7.552 0.000 7.643
-2.175 0.000 12.259
2.166 0.000 4.602
4.302 0.000 9.183
8.643 0.000 1.526
1.065 0.000 10.711
5.403 0.000 3.074

x) Tb3Sm4Y2 (GGA-PBE, optimized geometry); space group = No. 66; ρ = 7.07 g cm⁻³
1.0
4.921 -8.490 0.000
4.921 8.490 0.000
0.000 0.000 7.067
Tb Sm Y
6 8 4
Cartesian
0.000 0.000 1.767
0.000 0.000 5.300
4.921 2.882 1.767
4.921 2.882 5.300
4.921 -2.882 1.767
4.921 -2.882 5.300
3.413 5.561 0.000
3.294 0.232 0.000
6.428 5.561 3.533
3.294 -0.232 3.533
6.548 0.232 3.533
3.413 -5.561 3.533
6.548 -0.232 0.000
6.428 -5.561 0.000
1.788 2.726 3.533
1.788 -2.726 0.000
8.053 2.726 0.000
8.053 -2.726 3.533

w) is the most stable structure; the next one sits 4.0 kJ/mol of atoms above it.

w) Tb4Sm5Y (GGA-PBE, optimized geometry); space group = No. 107; ρ = 7.23 g cm⁻³
1.0
-5.307 5.307 3.009
5.307 -5.307 3.009
5.307 5.307 -3.009
Tb Sm Y
4 5 1
Cartesian
3.457 0.000 0.000
7.157 0.000 0.000
0.000 3.457 0.000
0.000 7.157 0.000
0.000 0.000 1.473
3.295 3.295 0.035
2.012 -2.012 3.044
-2.012 2.012 3.044
2.012 2.012 3.044
0.000 0.000 4.678

x) Tb4Sm5Y (GGA-PBE, optimized geometry); space group = No. 2; ρ = 7.11 g cm⁻³
1.0
3.578 0.000 0.000
-1.780 9.169 0.000
-0.007 -2.551 10.515
Tb Sm Y
4 5 1
Cartesian
-0.002 -0.162 2.738
0.006 3.930 8.204
1.785 2.687 2.311
1.794 6.779 7.777
-0.008 0.623 9.543
-0.003 1.760 5.538
1.786 -1.276 5.258
1.794 4.857 4.977
1.799 5.994 0.972
1.789 0.000 0.000

x) is the most stable structure; the next one sits 4.7 kJ/mol of atoms above it.

w) TbSm3Y7 (GGA-PBE, optimized geometry); space group = No. 156; ρ = 5.38 g cm⁻³
1.0
7.114 0.000 0.000
-3.557 6.161 0.000
0.000 0.000 8.671
Tb Sm Y
1 3 7
Cartesian
0.000 0.000 0.000
0.000 2.051 5.756
-1.781 5.135 5.756
1.781 5.135 5.756
-1.770 3.085 8.659
1.767 1.020 2.844
0.000 4.107 2.837
1.770 3.085 8.659
0.000 6.151 8.659
5.347 1.020 2.844
3.557 4.121 2.844

x) TbSm3Y7 (GGA-PBE, optimized geometry); space group = No. 10; ρ = 5.57 g cm⁻³
1.0
6.942 0.000 0.000
0.000 5.559 0.000
-3.338 0.000 9.515
Tb Sm Y
1 3 7
Cartesian
0.000 0.000 0.000
-0.156 2.780 4.791
3.471 0.000 0.000
3.759 2.780 4.724
-1.700 0.000 6.382
-1.618 2.780 8.223
1.731 2.780 2.020
1.802 0.000 4.757
1.873 2.780 7.495
5.222 2.780 1.292
5.304 0.000 3.133

x) is the most stable structure; the next one sits 4.2 kJ/mol of atoms above it.

w) Tb7Sm12Y (GGA-PBE, optimized geometry); space group = No. 148; ρ = 7.37 g cm⁻³
1.0
6.466 3.733 4.675
-6.466 3.733 4.675
0.000 -7.466 4.675
Tb Sm Y
7 12 1
Cartesian
0.000 0.000 0.000
-2.133 -0.756 4.863
1.721 -1.469 4.863
0.412 2.225 4.863
-0.412 -2.225 9.163
-1.721 1.469 9.163
2.133 0.756 9.163
-2.149 0.752 2.140
0.423 -2.237 2.140
-0.855 -3.715 5.863
-3.645 -1.117 8.164
-2.789 2.598 5.863
1.726 1.485 2.140
-1.726 -1.485 11.886
2.789 -2.598 8.164
3.645 1.117 5.863
0.855 3.715 8.164
-0.423 2.237 11.886
2.149 -0.752 11.886
0.000 0.000 7.013

x) Tb7Sm12Y (GGA-PBE, optimized geometry); space group = No. 166; ρ = 7.27 g cm⁻³
1.0
9.801 5.659 2.064
-9.801 5.659 2.064
0.000 -11.317 2.064
Tb Sm Y
7 12 1
Cartesian
0.000 0.000 0.000
-2.414 -1.393 1.801
2.414 -1.393 1.801
0.000 2.787 1.801
0.000 -2.787 4.392
-2.414 1.393 4.392
2.414 1.393 4.392
-4.049 -4.304 2.064
-5.752 -1.354 2.064
0.000 -4.007 1.281
-3.470 2.004 1.281
-5.752 1.354 4.129
-1.703 5.659 2.064
3.470 2.004 1.281
-3.470 -2.003 4.912
-4.049 4.304 4.129
1.703 5.659 2.064
3.470 -2.004 4.912
0.000 4.007 4.912
0.000 0.000 3.096

x) is the most stable structure; the next one sits 2.2 kJ/mol of atoms above it.

w) Tb3Sm2Y5 (GGA-PBE, optimized geometry); space group = No. 72; ρ = 5.80 g cm⁻³
1.0
-4.668 10.973 3.417
4.668 -10.973 3.417
4.668 10.973 -3.417
Tb Sm Y
6 4 10
Cartesian
2.337 2.730 0.000
0.000 0.000 1.709
2.337 -2.730 3.417
2.331 13.703 0.000
0.000 0.000 5.126
2.331 8.243 3.417
3.754 -8.318 3.417
3.754 8.318 0.000
0.914 2.655 3.417
0.914 19.291 0.000
4.668 5.551 -1.709
5.519 2.808 0.000
4.668 0.000 1.709
0.851 8.165 0.000
0.000 5.422 1.709
4.668 5.551 1.709
3.818 2.808 3.417
0.000 10.973 1.709
-0.851 8.165 3.417
0.000 5.422 5.126

x) Tb3Sm2Y5 (GGA-PBE, optimized geometry); space group = No. 15; ρ = 6.10 g cm⁻³
1.0
5.361 -8.080 0.000
5.361 8.080 0.000
-5.357 0.000 7.678
Tb Sm Y
6 4 10
Cartesian
1.343 7.685 5.758
1.299 1.980 3.461
-1.379 -1.980 7.300
6.743 1.980 0.378
4.065 -1.980 4.217
4.021 -7.685 1.919
1.299 2.016 0.343
-1.380 -2.016 4.182
6.744 2.016 3.496
4.066 -2.016 7.335
-1.323 1.956 5.869
1.343 4.384 5.758
4.021 3.647 1.919
1.356 -1.956 2.030
4.021 0.428 1.919
1.343 -0.428 5.758
4.009 1.956 5.648
1.343 -3.647 5.758
4.021 -4.384 1.919
6.687 -1.956 1.809

x) is the most stable structure; the next one sits 21.7 kJ/mol of atoms above it.

w) Tb2SmY5 (GGA-PBE, optimized geometry); space group = No. 55; ρ = 5.87 g cm⁻³
1.0
7.156 0.000 0.000
0.000 14.316 0.000
0.000 0.000 5.044
Tb Sm Y
4 2 10
Cartesian
1.791 1.791 0.000
1.788 8.949 0.000
5.369 5.367 0.000
5.366 12.526 0.000
0.000 0.000 2.522
3.578 7.158 2.522
0.003 3.579 2.522
0.000 7.158 2.522
7.154 10.738 2.522
1.785 12.524 0.000
1.794 5.366 0.000
3.578 0.000 2.522
3.581 3.579 2.522
3.576 10.737 2.522
5.363 8.950 0.000
5.372 1.792 0.000

x) Tb2SmY5 (GGA-PBE, optimized geometry); space group = No. 11; ρ = 5.70 g cm⁻³
1.0
5.817 0.000 0.000
0.000 11.182 0.000
-2.443 0.000 8.171
Tb Sm Y
4 2 10
Cartesian
0.581 1.296 0.316
0.581 4.295 0.316
2.793 6.887 7.855
2.793 9.886 7.855
2.525 8.387 1.240
0.849 2.796 6.930
0.232 6.476 3.095
0.232 10.298 3.095
0.326 2.796 3.448
0.002 6.452 6.452
0.002 10.322 6.452
3.372 0.861 1.718
3.372 4.730 1.718
3.048 8.387 4.723
3.143 0.885 5.076
3.143 4.707 5.076

w) is the most stable structure; the next one sits 14.6 kJ/mol of atoms above it.

w) Tb4Sm2Y5 (GGA-PBE, optimized geometry); space group = No. 12; ρ = 6.27 g cm⁻³
1.0
8.291 -3.349 0.000
8.291 3.349 0.000
-1.071 0.000 6.583
Tb Sm Y
4 2 5
Cartesian
1.016 0.000 2.665
4.031 0.000 1.295
11.481 0.000 5.288
14.496 0.000 3.918
4.186 0.000 4.627
11.325 0.000 1.956
6.706 1.751 0.607
8.805 1.751 5.976
7.756 0.000 3.292
6.706 -1.751 0.607
8.805 -1.751 5.976

x) Tb4Sm2Y5 (GGA-PBE, optimized geometry); space group = No. 12; ρ = 6.33 g cm⁻³
1.0
11.959 -1.740 0.000
11.959 1.740 0.000
-0.990 0.000 8.704
Tb Sm Y
4 2 5
Cartesian
0.732 0.000 3.137
7.203 0.000 4.600
15.725 0.000 4.103
22.195 0.000 5.567
1.440 0.000 6.425
21.488 0.000 2.279
3.251 0.000 1.033
4.729 0.000 7.172
11.959 0.000 0.000
18.198 0.000 1.532
19.677 0.000 7.671

x) is the most stable structure; the next one sits 1.6 kJ/mol of atoms above it.

w) TbSm4Y5 (GGA-PBE, optimized geometry); space group = No. 79; ρ = 5.96 g cm⁻³
1.0
-5.180 5.180 3.130
5.180 -5.180 3.130
5.180 5.180 -3.130
Tb Sm Y
1 4 5
Cartesian
0.000 0.000 0.000
6.745 -0.470 1.458
3.615 0.470 1.458
-0.470 3.615 1.458
0.470 6.745 1.458
0.000 0.000 2.892
6.753 2.808 1.463
2.808 3.607 1.463
2.372 1.573 4.593
-1.573 2.372 4.593

x) TbSm4Y5 (GGA-PBE, optimized geometry); space group = No. 12; ρ = 5.85 g cm⁻³
1.0
8.685 -1.777 0.000
8.685 1.777 0.000
-0.014 0.000 11.085
Tb Sm Y
1 4 5
Cartesian
0.000 0.000 0.000
2.637 0.000 8.316
8.181 0.000 8.321
9.175 0.000 2.764
14.719 0.000 2.769
-0.007 0.000 5.542
5.650 0.000 6.173
5.647 0.000 10.460
11.709 0.000 0.625
11.706 0.000 4.912

x) is the most stable structure; the next one sits 10.0 kJ/mol of atoms above it.

w) Tb2Sm5Y2 (GGA-PBE, optimized geometry); space group = No. 12; ρ = 6.84 g cm⁻³
1.0
10.112 -1.757 0.000
10.112 1.757 0.000
-1.733 0.000 8.527
Tb Sm Y
2 5 2
Cartesian
1.465 0.000 2.870
17.026 0.000 5.657
5.056 0.000 3.027
8.411 0.000 2.823
10.112 0.000 0.000
10.080 0.000 5.704
13.435 0.000 5.501
4.868 0.000 8.232
13.623 0.000 0.296

x) Tb2Sm5Y2 (GGA-PBE, optimized geometry); space group = No. 46; ρ = 6.88 g cm⁻³
1.0
-7.467 5.942 3.393
7.467 -5.942 3.393
7.467 5.942 -3.393
Tb Sm Y
4 10 4
Cartesian
0.000 0.000 0.000
7.467 0.000 0.000
3.734 5.876 2.977
-3.734 6.009 2.977
8.230 3.031 -1.184
6.704 -2.912 2.209
2.146 2.763 1.015
5.321 2.763 1.015
3.734 -2.866 4.301
-0.763 2.912 2.209
8.230 2.912 2.209
3.734 8.809 0.907
-2.146 9.122 1.015
2.146 3.180 4.409
1.895 5.892 -0.130
5.572 5.892 -0.130
1.895 0.051 3.263
5.572 0.051 3.263

w) is the most stable structure; the next one sits 7.4 kJ/mol of atoms above it.